Entry from the Alexandria database: a geometry-optimized KCrF3 structure (PBE with a Hubbard U).

Output
Its space group is Pm-3m (221). The value obtained for the energy is -5.4653 eV per atom.

abc: 4.2151 4.2151 4.2151
angles: 90.00 90.00 90.00
Sites, in units of the cell vectors:
1 F 0.0000 0.5000 0.0000
2 F 0.5000 0.0000 0.0000
3 F 0.0000 0.0000 0.5000
4 Cr 0.0000 0.0000 0.0000
5 K 0.5000 0.5000 0.5000